Entry 1:
Crystalline TlCu2Re at its relaxed geometry, computed with PBE-GGA.

Cell: 4.2409 2.7925 5.4305 Å, 75.15 90.00 90.00°
Fractional positions:
Tl 0.5000 0.8017 0.7692
Re 0.0000 0.4602 0.4547
Cu 0.0000 0.1801 0.0124
Cu 0.5000 0.0579 0.2637

Properties
- Crystal system: monoclinic
- E_tot: -5.10 eV/atom
- E above lowest polymorph: 116.8 meV/atom

***

Entry 2:
Crystalline TlCu2Re at its relaxed geometry, computed with PBE-GGA.

Cell: 4.4493 4.4493 4.4493 Å, 60.00 60.00 60.00°
Each line ends with the local moment (μB).
Fractional positions:
Tl 0.5000 0.5000 0.5000  -0.03
Cu 0.7500 0.7500 0.7500  0.09
Re 0.0000 0.0000 0.0000  1.46
Cu 0.2500 0.2500 0.2500  0.09

Properties
- Crystal system: cubic
- E_tot: -4.92 eV/atom
- E above lowest polymorph: 298.4 meV/atom

***

Entry 3:
Crystalline TlCu2Re at its relaxed geometry, computed with PBE-GGA.

Cell: 2.9338 2.9338 7.2704 Å, 90.00 90.00 90.00°
Each line ends with the local moment (μB).
Fractional positions:
Cu 0.0000 0.0000 0.0460  0.00
Tl 0.5000 0.5000 0.7619  0.00
Re 0.0000 0.0000 0.4536  -0.39
Cu 0.5000 0.5000 0.2386  -0.03

Properties
- Crystal system: tetragonal
- E_tot: -5.13 eV/atom
- E above lowest polymorph: 85.3 meV/atom

***

Entry 4:
Crystalline Tl2CuRe at its relaxed geometry, computed with PBE-GGA.

Cell: 4.7921 4.7921 4.7921 Å, 60.00 60.00 60.00°
Fractional positions:
Tl 0.2500 0.2500 0.2500
Cu 0.5000 0.5000 0.5000
Tl 0.0000 0.0000 0.0000
Re 0.7500 0.7500 0.7500

Properties
- Crystal system: cubic
- E_tot: -4.09 eV/atom
- E above lowest polymorph: 527.0 meV/atom

***

Entry 5:
Crystalline Tl2CuRe at its relaxed geometry, computed with PBE-GGA.

Cell: 5.6011 5.6502 2.9790 Å, 74.66 90.11 119.75°
Fractional positions:
Tl 0.0000 0.0000 0.0000
Cu 0.0000 0.5000 0.5000
Re 0.5000 0.5000 0.0000
Tl 0.5000 0.0000 0.5000

Properties
- Crystal system: monoclinic
- E_tot: -4.38 eV/atom
- E above lowest polymorph: 236.3 meV/atom

***

Entry 6:
Crystalline TlCu2Re at its relaxed geometry, computed with PBE-GGA.

Cell: 4.4872 4.4872 4.4872 Å, 60.00 60.00 60.00°
Each line ends with the local moment (μB).
Fractional positions:
Cu 0.0000 0.0000 0.0000  0.04
Tl 0.7500 0.7500 0.7500  0.00
Re 0.5000 0.5000 0.5000  1.25
Cu 0.2500 0.2500 0.2500  0.10

Properties
- Crystal system: cubic
- E_tot: -4.87 eV/atom
- E above lowest polymorph: 340.4 meV/atom

***

Entry 7:
Crystalline TlCu2Re at its relaxed geometry, computed with PBE-GGA.

Cell: 3.8578 2.8427 6.4280 Å, 64.11 90.00 90.00°
Fractional positions:
Re 0.5000 0.2500 0.2500
Tl 0.5000 0.7500 0.7500
Cu 0.0000 0.5409 0.4608
Cu 0.0000 0.9591 0.0392

Properties
- Crystal system: monoclinic
- E_tot: -5.15 eV/atom
- E above lowest polymorph: 68.6 meV/atom

***

Entry 8:
Crystalline TlCu2Re at its relaxed geometry, computed with PBE-GGA.

Cell: 3.9125 3.9125 9.6436 Å, 78.30 78.30 90.00°
Each line ends with the local moment (μB).
Fractional positions:
Re 0.2500 0.7500 0.5000  0.77
Tl 0.0000 0.0000 0.0000  -0.02
Cu 0.3750 0.4285 0.7500  0.06
Cu 0.8750 0.8215 0.7500  0.06
Tl 0.7500 0.2500 0.5000  -0.02
Cu 0.5715 0.1250 0.2500  0.06
Cu 0.1785 0.6250 0.2500  0.07
Re 0.5000 0.5000 0.0000  0.79

Properties
- Crystal system: tetragonal
- E_tot: -4.70 eV/atom
- E above lowest polymorph: 509.7 meV/atom

***

Entry 9:
Crystalline TlCu2Re at its relaxed geometry, computed with PBE-GGA.

Cell: 5.3576 5.3576 5.3576 Å, 148.87 128.83 61.12°
Fractional positions:
Re 0.4844 0.4844 0.0000
Cu 0.2378 0.7378 0.5000
Cu 0.0156 0.0156 0.0000
Tl 0.7621 0.2621 0.5000

Properties
- Crystal system: orthorhombic
- E_tot: -5.09 eV/atom
- E above lowest polymorph: 123.6 meV/atom

***

Entry 10:
Crystalline Tl2CuRe at its relaxed geometry, computed with PBE-GGA.

Cell: 4.7462 4.7462 4.7462 Å, 60.00 60.00 60.00°
Fractional positions:
Tl 0.7500 0.7500 0.7500
Cu 0.0000 0.0000 0.0000
Tl 0.2500 0.2500 0.2500
Re 0.5000 0.5000 0.5000

Properties
- Crystal system: cubic
- E_tot: -4.29 eV/atom
- E above lowest polymorph: 331.3 meV/atom

***

Entry 11:
Crystalline Tl2CuRe at its relaxed geometry, computed with PBE-GGA.

Cell: 9.1985 9.1985 9.1985 Å, 19.54 19.54 19.54°
Fractional positions:
Re 0.7500 0.7500 0.7500
Tl 0.9978 0.9978 0.9978
Tl 0.5022 0.5022 0.5022
Cu 0.2500 0.2500 0.2500

Properties
- Crystal system: trigonal
- E_tot: -4.47 eV/atom
- E above lowest polymorph: 155.1 meV/atom

***

Entry 12:
Crystalline TlCuReW2 at its relaxed geometry, computed with PBE-GGA.

Cell: 4.9537 4.9027 4.9537 Å, 90.00 90.00 90.00°
Fractional positions:
W 0.5000 0.0000 0.0000
Cu 0.5000 0.5000 0.5000
W 0.0000 0.0000 0.5000
Tl 0.0000 0.0000 0.0000
Re 0.0000 0.5000 0.0000

Properties
- Crystal system: tetragonal
- E_tot: -5.48 eV/atom

***

| no. | calculated volume (A^3/atom) | ΔE_f (eV/atom) |
| --- | --- | --- |
| 1 | 15.5 | 0.6547 |
| 2 | 15.6 | 0.8363 |
| 3 | 15.6 | 0.6231 |
| 4 | 19.5 | 1.2261 |
| 5 | 19.5 | 0.9354 |
| 6 | 16.0 | 0.8783 |
| 7 | 15.9 | 0.6064 |
| 8 | 17.7 | 1.0475 |
| 9 | 15.3 | 0.6614 |
| 10 | 18.9 | 1.0304 |
| 11 | 19.0 | 0.8542 |
| 12 | 24.1 | 3.4860 |